Below is a relaxed TmSc2In3 crystal, with properties calculated at the PBE level.

The structure belongs to space group P4/mmm (No. 123); the cell edges are 3.4033, 3.4033 and 12.2027 Å and the angles 90.00°, 90.00° and 90.00°. Symmetry generates all atoms from Tm at (0.0000, 0.0000, 0.0000), Sc at (0.0000, 0.0000, 0.3379), In at (0.5000, 0.5000, 0.1765) and In at (0.5000, 0.5000, 0.5000).

As for the formation energy: -40.4 kJ per mole of atoms. As for the distance to the lowest polymorph of the same formula: 0.004 eV per atom. The value obtained for the uncorrected energy is -27.86 eV/f.u.


Below is a relaxed Tm2Sc2In crystal, with properties calculated at the PBE level.

The structure belongs to space group C2/m (No. 12); the cell edges are 11.5225, 5.1793 and 8.9879 Å and the angles 90.00°, 105.26° and 90.00°. Symmetry generates all atoms from Tm at (0.0313, 0.0000, 0.3417), Tm at (0.1555, 0.0000, 0.0469), Sc at (0.0225, 0.5000, 0.8438), Sc at (0.1448, 0.5000, 0.5562) and In at (0.2483, 0.5000, 0.2664).

As for the formation energy: -16.9 kJ per mole of atoms. As for the distance to the lowest polymorph of the same formula: 0.000 eV per atom. The value obtained for the uncorrected energy is -25.22 eV/f.u.


Below is a relaxed Tm5Sc2In5 crystal, with properties calculated at the PBE level.

The structure belongs to space group C2/m (No. 12); the cell edges are 11.6100, 4.9877 and 11.6179 Å and the angles 90.00°, 111.03° and 90.00°. Symmetry generates all atoms from Tm at (0.0000, 0.0000, 0.0000), Tm at (0.1286, 0.0000, 0.7718), Tm at (0.1537, 0.0000, 0.5001), Sc at (0.0765, 0.5000, 0.2592), In at (0.0000, 0.5000, 0.5000), In at (0.1630, 0.5000, 0.9609) and In at (0.2276, 0.0000, 0.2722).

As for the formation energy: -28.1 kJ per mole of atoms. The value obtained for the uncorrected energy is -52.21 eV/f.u.


Below is a relaxed Tm2ScIn crystal, with properties calculated at the PBE level.

The structure belongs to space group F-43m (No. 216); the cell edges are 7.4571, 7.4571 and 7.4571 Å and the angles 90.00°, 90.00° and 90.00°. Symmetry generates all atoms from Tm at (0.0000, 0.0000, 0.0000), Tm at (0.2500, 0.2500, 0.2500), Sc at (0.0000, 0.0000, 0.5000) and In at (0.2500, 0.2500, 0.7500).

As for the formation energy: -11.2 kJ per mole of atoms. As for the distance to the lowest polymorph of the same formula: 0.137 eV per atom. The value obtained for the uncorrected energy is -18.48 eV/f.u.


Below is a relaxed Tm4ScIn2 crystal, with properties calculated at the PBE level.

The structure belongs to space group R-3m (No. 166, hexagonal axes); the cell edges are 5.3679, 5.3679 and 25.4005 Å and the angles 90.00°, 90.00° and 120.00°. Symmetry generates all atoms from Tm at (0.0000, 0.0000, 0.1297), Tm at (0.0000, 0.0000, 0.2643), Sc at (0.0000, 0.0000, 0.5000) and In at (0.0000, 0.0000, 0.3852).

As for the formation energy: 2.7 kJ per mole of atoms. As for the distance to the lowest polymorph of the same formula: 0.000 eV per atom. The value obtained for the uncorrected energy is -29.50 eV/f.u.


Below is a relaxed Tm3Sc4In2 crystal, with properties calculated at the PBE level.

The structure belongs to space group C2/m (No. 12); the cell edges are 14.1035, 4.6484 and 7.3822 Å and the angles 90.00°, 108.22° and 90.00°. Symmetry generates all atoms from Tm at (0.0000, 0.0000, 0.0000), Tm at (0.1128, 0.0000, 0.6646), Sc at (0.0584, 0.5000, 0.3305), Sc at (0.2205, 0.0000, 0.3282) and In at (0.1635, 0.5000, 0.0021).

As for the formation energy: -16.9 kJ per mole of atoms. The value obtained for the uncorrected energy is -45.80 eV/f.u.


Below is a relaxed Tm4ScIn2 crystal, with properties calculated at the PBE level.

The structure belongs to space group I4/mmm (No. 139); the cell edges are 5.5868, 5.5868 and 13.0364 Å and the angles 90.00°, 90.00° and 90.00°. Symmetry generates all atoms from Tm at (0.0000, 0.5000, 0.0000), Tm at (0.0000, 0.5000, 0.2500), Sc at (0.0000, 0.0000, 0.0000) and In at (0.0000, 0.0000, 0.3751).

As for the formation energy: 19.4 kJ per mole of atoms. As for the distance to the lowest polymorph of the same formula: 0.173 eV per atom. The value obtained for the uncorrected energy is -28.29 eV/f.u.


Below is a relaxed TmSc3In crystal, with properties calculated at the PBE level.

The structure belongs to space group Pnma (No. 62); the cell edges are 6.4442, 9.6429 and 8.4883 Å and the angles 90.00°, 90.00° and 90.00°. Symmetry generates all atoms from Tm at (0.2166, 0.2500, 0.1398), Sc at (0.0991, 0.0311, 0.8360), Sc at (0.2432, 0.7500, 0.0466) and In at (0.0000, 0.0000, 0.5000).

As for the formation energy: -5.8 kJ per mole of atoms. As for the distance to the lowest polymorph of the same formula: 0.049 eV per atom. The value obtained for the uncorrected energy is -26.51 eV/f.u.